The following is a DFT calculation (PBE+U) of a relaxed ScNi2O crystal.

Its total energy is -4.036 eV per atom. For the density of states at the Fermi level, the calculation gives 10.19 states/eV/cell. The value obtained for the density is 4893 kg/m³. The volume is 242 Å³/cell. The size of the total moment is 0.060 μB per atom.

It has space group I-42d (No. 122), with a = 4.480 Å, b = 4.480 Å, c = 12.060 Å, α = 90.00°, β = 90.00° and γ = 90.00°. Symmetry generates all atoms from Sc at (0.000, 0.000, 0.000), Ni at (0.004, 0.250, 0.625) and O at (0.000, 0.000, 0.500).